Record 1
LiPmMgHg: relaxed, PBE.

The structure in POSCAR format:
```
LiPmMgHg
1.0
7.1669 0.0000 0.0000
0.0000 7.1669 0.0000
0.0000 0.0000 7.1669
Li Pm Mg Hg
4 4 4 4
direct
0.0000 0.0000 0.0000 Li
0.0000 0.5000 0.5000 Li
0.5000 0.0000 0.5000 Li
0.5000 0.5000 0.0000 Li
0.2500 0.2500 0.7500 Pm
0.2500 0.7500 0.2500 Pm
0.7500 0.2500 0.2500 Pm
0.7500 0.7500 0.7500 Pm
0.2500 0.2500 0.2500 Mg
0.2500 0.7500 0.7500 Mg
0.7500 0.2500 0.7500 Mg
0.7500 0.7500 0.2500 Mg
0.0000 0.0000 0.5000 Hg
0.0000 0.5000 0.0000 Hg
0.5000 0.0000 0.0000 Hg
0.5000 0.5000 0.5000 Hg
```

## Properties
Calculated formation energy ... -330 meV/atom
SG ... No. 216

=====

Record 2
Sc2MnIrC: relaxed, PBE.

The structure in POSCAR format:
```
Sc2MnIrC
1.0
4.5077 0.0000 0.0000
0.0000 4.5077 0.0000
0.0000 0.0000 3.6452
Sc Mn Ir C
2 1 1 1
direct
0.0000 0.5000 0.0000 Sc
0.5000 0.0000 0.0000 Sc
0.0000 0.0000 0.5000 Mn
0.5000 0.5000 0.5000 Ir
0.0000 0.0000 0.0000 C
```

## Properties
Calculated formation energy ... -469 meV/atom
SG ... No. 123

=====

Record 3
Sc5Pt6: relaxed, PBE.

The structure in POSCAR format:
```
Sc5Pt6
1.0
-2.2758 3.3189 6.8511
2.2758 -3.3189 6.8511
2.2758 3.3189 -6.8511
Sc Pt
5 6
direct
0.0000 0.0000 0.0000 Sc
0.1690 0.6690 0.5000 Sc
0.3469 0.3469 0.0000 Sc
0.6531 0.6531 0.0000 Sc
0.8310 0.3310 0.5000 Sc
0.0700 0.8278 0.2422 Pt
0.2350 0.5000 0.7350 Pt
0.4144 0.1722 0.2422 Pt
0.5856 0.8278 0.7578 Pt
0.7650 0.5000 0.2650 Pt
0.9300 0.1722 0.7578 Pt
```

## Properties
Calculated formation energy ... -1107 meV/atom
SG ... No. 71

=====

Record 4
BaMg6NbO8: relaxed, PBE.

The structure in POSCAR format:
```
BaMg6NbO8
1.0
4.6793 0.0000 0.0000
0.0000 4.6793 0.0000
0.0000 0.0000 8.9634
Ba Mg Nb O
1 6 1 8
direct
0.0000 0.0000 0.0000 Ba
0.0000 0.0000 0.5000 Mg
0.0000 0.5000 0.2713 Mg
0.0000 0.5000 0.7287 Mg
0.5000 0.0000 0.2713 Mg
0.5000 0.0000 0.7287 Mg
0.5000 0.5000 0.5000 Mg
0.5000 0.5000 0.0000 Nb
0.0000 0.0000 0.2836 O
0.0000 0.0000 0.7164 O
0.0000 0.5000 0.0000 O
0.0000 0.5000 0.5000 O
0.5000 0.0000 0.0000 O
0.5000 0.0000 0.5000 O
0.5000 0.5000 0.2622 O
0.5000 0.5000 0.7378 O
```

## Properties
SG ... No. 123
Uncorrected formation energy ... -2.10 eV/atom

=====

| no. | Fermi-level density of states (states/eV/cell) | total DFT energy (no corrections) (eV/atom) |
| --- | --- | --- |
| 1 | 9.5 | -2.470 |
| 2 | 4.0 | -8.452 |
| 3 | 5.3 | -7.280 |
| 4 | 3.8 | -5.924 |